Crystalline ZnSnSO at its relaxed geometry. Source: OQMD via LeMat-Bulk, functional PBE.

Summary:
DFT total energy = -29.6 eV per cell
Crystal system = tetragonal
Space group = P4/nmm
E above lowest polymorph = 833 meV per atom

Cell: 4.1596 4.1596 8.4930 Å, 90.00 90.00 90.00°
Last column: nearest neighbours and their distance in Å.
Element x y z (fractional)
Zn  0.2500  0.2500  0.2295  1 O 1.91
Zn  0.7500  0.7500  0.7705  1 O 1.91
Sn  0.2500  0.7500  0.5000  4 Sn 2.94, 4 Zn 3.10
Sn  0.7500  0.2500  0.5000  4 Sn 2.94, 4 Zn 3.10
S  0.2500  0.2500  0.8219  1 O 1.55
S  0.7500  0.7500  0.1781  1 O 1.55
O  0.2500  0.2500  0.0041  1 S 1.55
O  0.7500  0.7500  0.9959  1 S 1.55